one | Compound: Ce2FePb
Source: the Alexandria database
Functional: PBE
Structure: relaxed

Geometry as POSCAR:
```
Ce2FePb
1.0
3.292 0.000 0.000
0.000 3.292 0.000
0.000 0.000 8.693
Ce Fe Pb
2 1 1
Cartesian
0.000 0.000 1.719 Ce
0.000 0.000 6.974 Ce
1.646 1.646 0.000 Fe
1.646 1.646 4.347 Pb
```

Calculated values
Space group: P4/mmm (123)

two | Compound: Ce2FePb
Source: the Alexandria database
Functional: PBE
Structure: relaxed

Geometry as POSCAR:
```
Ce2FePb
1.0
6.440 0.000 0.000
0.000 3.719 0.000
-0.011 0.000 8.629
Ce Fe Pb
4 2 2
Cartesian
1.070 0.000 1.548 Ce
2.140 1.859 7.082 Ce
4.290 1.859 1.548 Ce
5.360 0.000 7.082 Ce
0.000 1.859 0.000 Fe
3.220 0.000 0.000 Fe
-0.005 1.859 4.315 Pb
3.215 0.000 4.315 Pb
```

Calculated values
Space group: C2/m (12)

three | Compound: Ce2FePb
Source: the Alexandria database
Functional: PBE
Structure: relaxed

Geometry as POSCAR:
```
Ce2FePb
1.0
3.723 0.000 0.000
-1.862 3.225 0.000
0.000 0.000 28.901
Ce Fe Pb
6 3 3
Cartesian
0.000 0.000 3.324 Ce
0.000 0.000 25.577 Ce
0.000 2.150 15.943 Ce
0.000 2.150 22.592 Ce
1.862 1.075 6.309 Ce
1.862 1.075 12.958 Ce
0.000 0.000 14.450 Fe
0.000 2.150 4.817 Fe
1.862 1.075 24.084 Fe
0.000 0.000 0.000 Pb
0.000 2.150 19.267 Pb
1.862 1.075 9.634 Pb
```

Calculated values
Space group: R-3m (166)

Stability, descending: one, two, three

one | Compound: Ce2PmFe
Source: the Alexandria database
Functional: PBE
Structure: relaxed

Geometry as POSCAR:
```
Ce2PmFe
1.0
3.716 0.000 0.000
-1.858 3.218 0.000
0.000 0.000 26.787
Ce Pm Fe
6 3 3
Cartesian
0.000 0.000 5.982 Ce
0.000 0.000 20.805 Ce
0.000 2.146 11.876 Ce
0.000 2.146 23.840 Ce
1.858 1.073 2.947 Ce
1.858 1.073 14.911 Ce
0.000 0.000 0.000 Pm
0.000 2.146 17.858 Pm
1.858 1.073 8.929 Pm
0.000 0.000 13.393 Fe
0.000 2.146 4.464 Fe
1.858 1.073 22.322 Fe
```

Calculated values
Space group: R-3m (166)

two | Compound: Ce2PmFe
Source: the Alexandria database
Functional: PBE
Structure: relaxed

Geometry as POSCAR:
```
Ce2PmFe
1.0
3.426 0.000 0.000
0.000 3.426 0.000
0.000 0.000 8.653
Ce Pm Fe
2 1 1
Cartesian
0.000 0.000 1.597 Ce
0.000 0.000 7.056 Ce
1.713 1.713 4.326 Pm
1.713 1.713 0.000 Fe
```

Calculated values
Space group: P4/mmm (123)

Stability, descending: one, two

one | Compound: CePm2Fe
Source: the Alexandria database
Functional: PBE
Structure: relaxed

Geometry as POSCAR:
```
CePm2Fe
1.0
3.455 0.000 0.000
-1.727 2.992 0.000
0.000 0.000 32.058
Ce Pm Fe
3 6 3
Cartesian
0.000 0.000 0.000 Ce
0.000 1.995 21.372 Ce
1.727 0.997 10.686 Ce
0.000 0.000 3.382 Pm
0.000 0.000 28.676 Pm
0.000 1.995 17.990 Pm
0.000 1.995 24.754 Pm
1.727 0.997 7.304 Pm
1.727 0.997 14.068 Pm
0.000 0.000 16.029 Fe
0.000 1.995 5.343 Fe
1.727 0.997 26.715 Fe
```

Calculated values
Space group: R-3m (166)

two | Compound: CePm2Fe
Source: the Alexandria database
Functional: PBE
Structure: relaxed

Geometry as POSCAR:
```
CePm2Fe
1.0
6.962 0.000 0.000
0.000 9.861 0.000
0.000 0.000 6.284
Ce Pm Fe
4 8 4
Cartesian
0.384 2.465 1.155 Ce
3.097 7.396 4.297 Ce
3.865 2.465 1.987 Ce
6.579 7.396 5.129 Ce
1.163 0.701 4.300 Pm
1.163 4.230 4.300 Pm
2.318 5.631 1.158 Pm
2.318 9.160 1.158 Pm
4.645 0.701 5.126 Pm
4.645 4.230 5.126 Pm
5.799 5.631 1.984 Pm
5.799 9.160 1.984 Pm
0.884 7.396 3.309 Fe
2.598 2.465 0.167 Fe
4.365 7.396 6.118 Fe
6.079 2.465 2.975 Fe
```

Calculated values
Space group: Pnma (62)

Stability, descending: two, one